(1)
VASP calculation (PBE) on an optimized crystal structure of TmGa2Si.

Output
Electronic total energy: -4.397 eV/atom
Spin magnetization: 0.000 μB/cell
E_form (uncorrected): -0.41 eV/atom
Density: 7.597 g/cm3
SG: No. 123

a b c (Å): 4.257 4.156 4.156
angles (deg): 90.00 90.00 90.00
Fractional coordinates of all 4 atoms:
Si1 0.500 0.000 0.000
Tm1 0.500 0.500 0.500
Ga1 0.000 0.000 0.500
Ga2 0.000 0.500 0.000

=====

(2)
VASP calculation (PBE) on an optimized crystal structure of Tm3Ga3Si.

Output
Electronic total energy: -4.599 eV/atom
Spin magnetization: 0.000 μB/cell
E_form (uncorrected): -0.61 eV/atom
Density: 8.360 g/cm3
SG: No. 12

a b c (Å): 4.174 5.721 13.504
angles (deg): 82.28 81.11 68.61
Fractional coordinates of all 14 atoms:
Tm1 0.508 0.360 0.625
Tm2 0.492 0.640 0.375
Tm3 0.268 0.235 0.229
Tm4 0.732 0.765 0.771
Tm5 0.388 0.299 0.925
Tm6 0.612 0.701 0.075
Ga1 0.857 0.746 0.541
Ga2 0.143 0.254 0.459
Ga3 0.107 0.862 0.924
Ga4 0.893 0.138 0.076
Ga5 0.991 0.792 0.225
Ga6 0.009 0.208 0.775
Si1 0.781 0.064 0.375
Si2 0.219 0.936 0.625

=====

(3)
VASP calculation (PBE) on an optimized crystal structure of Tm3Ga2Si3.

Output
Electronic total energy: -5.045 eV/atom
Spin magnetization: 0.000 μB/cell
E_form (uncorrected): -0.58 eV/atom
Density: 7.681 g/cm3
SG: No. 63

a b c (Å): 4.078 5.672 14.635
angles (deg): 90.00 90.00 111.07
Fractional coordinates of all 16 atoms:
Tm1 0.870 0.740 0.402
Tm2 0.130 0.260 0.902
Tm3 0.870 0.740 0.098
Tm4 0.130 0.260 0.598
Tm5 0.578 0.156 0.250
Tm6 0.422 0.844 0.750
Ga1 0.843 0.686 0.879
Ga2 0.157 0.314 0.379
Ga3 0.843 0.686 0.621
Ga4 0.157 0.314 0.121
Si1 0.583 0.166 0.449
Si2 0.417 0.834 0.949
Si3 0.583 0.166 0.051
Si4 0.417 0.834 0.551
Si5 0.309 0.618 0.250
Si6 0.691 0.382 0.750

=====

(4)
VASP calculation (PBE) on an optimized crystal structure of Tm2GaSi.

Output
Electronic total energy: -4.766 eV/atom
Spin magnetization: 0.000 μB/cell
E_form (uncorrected): -0.42 eV/atom
Density: 7.653 g/cm3
SG: No. 166

a b c (Å): 3.675 3.675 8.357
angles (deg): 77.30 77.30 60.00
Fractional coordinates of all 4 atoms:
Si1 0.000 0.000 0.000
Tm1 0.745 0.745 0.765
Tm2 0.255 0.255 0.235
Ga1 0.500 0.500 0.500

=====

- What is the formula in the third record?
  Tm3Ga2Si3

=====

- spin magnetization of number 2 (Tm3Ga3Si)?
  0.000 μB/cell